Li2Si2AgAu5: optimized geometry, PBE.

Properties
Density of states at the Fermi level (states/eV/f.u.): 2.7
Raw formation energy (meV/atom): -182.0

a b c (Å): 10.2861 10.2861 3.4365
angles (deg): 90.00 90.00 90.00
Positions (direct):
Li1 0.1698 0.3302 0.0000
Li2 0.3302 0.8302 0.0000
Li3 0.6698 0.1698 0.0000
Li4 0.8302 0.6698 0.0000
Si1 0.1316 0.6316 0.0000
Si2 0.3684 0.1316 0.0000
Si3 0.6316 0.8684 0.0000
Si4 0.8684 0.3684 0.0000
Ag1 0.0000 0.0000 0.0000
Ag2 0.5000 0.5000 0.0000
Au1 0.0000 0.5000 0.5000
Au2 0.0663 0.7973 0.5000
Au3 0.2027 0.0663 0.5000
Au4 0.2973 0.5663 0.5000
Au5 0.4337 0.2973 0.5000
Au6 0.5000 0.0000 0.5000
Au7 0.5663 0.7027 0.5000
Au8 0.7027 0.4337 0.5000
Au9 0.7973 0.9337 0.5000
Au10 0.9337 0.2027 0.5000